(1)
A plane-wave DFT calculation with GGA-PBE was carried out for an optimized crystal structure of Mn2VRe.

DFT formation energy = 3.6 kcal/mol of atoms
polymorph energy (0 for the lowest one) = 244.0 meV per atom
N(E_F) = 4.8 states/eV per cell

Cell lengths 2.725, 2.725, 8.159 Å; angles 80.39, 80.39, 60.00 degrees
Fractional positions:
Mn 0.254 0.254 0.237
Mn 0.746 0.746 0.763
V 0.000 0.000 0.000
Re 0.500 0.500 0.500

---

(2)
A plane-wave DFT calculation with GGA-PBE was carried out for an optimized crystal structure of CaIrSe2.

polymorph energy (0 for the lowest one) = 320.8 meV per atom
N(E_F) = 3.2 states/eV per cell

Cell lengths 3.368, 3.368, 8.418 Å; angles 90.00, 90.00, 90.00 degrees
Fractional positions:
Ca 0.000 0.000 0.510
Se 0.000 0.000 0.892
Se 0.500 0.500 0.308
Ir 0.500 0.500 0.789

---

(3)
A plane-wave DFT calculation with GGA-PBE was carried out for an optimized crystal structure of KTl2I4.

N(E_F) = 3.0 states/eV per cell

Cell lengths 8.314, 8.314, 5.724 Å; angles 90.00, 90.00, 90.00 degrees
Fractional positions:
I 0.258 0.742 0.722
I 0.742 0.258 0.722
I 0.258 0.258 0.278
I 0.742 0.742 0.278
Tl 0.000 0.500 0.500
Tl 0.500 0.000 0.500
K 0.000 0.000 0.000

---

(4)
A plane-wave DFT calculation with GGA-PBE was carried out for an optimized crystal structure of Na2CuSnIr.

DFT formation energy = 18.5 kcal/mol of atoms
N(E_F) = 2.5 states/eV per cell

Cell lengths 4.815, 4.932, 4.815 Å; angles 90.00, 90.00, 90.00 degrees
Fractional positions:
Ir 0.500 0.500 0.500
Na 0.500 0.000 0.000
Na 0.000 0.000 0.500
Cu 0.000 0.000 0.000
Sn 0.000 0.500 0.000

---

(5)
A plane-wave DFT calculation with GGA-PBE was carried out for an optimized crystal structure of CaGeBO2.

N(E_F) = 4.9 states/eV per cell

Cell lengths 4.300, 4.765, 4.300 Å; angles 90.00, 90.00, 90.00 degrees
Fractional positions:
O 0.500 0.000 0.000
O 0.000 0.000 0.500
B 0.000 0.500 0.000
Ca 0.000 0.000 0.000
Ge 0.500 0.500 0.500

---

(6)
A plane-wave DFT calculation with GGA-PBE was carried out for an optimized crystal structure of BaIrAu.

DFT formation energy = 6.9 kcal/mol of atoms
polymorph energy (0 for the lowest one) = 476.9 meV per atom
N(E_F) = 0.9 states/eV per cell

Cell lengths 4.889, 4.889, 4.889 Å; angles 60.00, 60.00, 60.00 degrees
Fractional positions:
Ir 0.750 0.750 0.750
Au 0.000 0.000 0.000
Ba 0.500 0.500 0.500

---

(7)
A plane-wave DFT calculation with GGA-PBE was carried out for an optimized crystal structure of KCaW.

DFT formation energy = 44.4 kcal/mol of atoms
polymorph energy (0 for the lowest one) = 758.2 meV per atom
N(E_F) = 2.4 states/eV per cell

Cell lengths 5.604, 5.604, 5.604 Å; angles 60.00, 60.00, 60.00 degrees
Fractional positions:
Ca 0.000 0.000 0.000
W 0.250 0.250 0.250
K 0.500 0.500 0.500

---

(8)
A plane-wave DFT calculation with GGA-PBE was carried out for an optimized crystal structure of Mg2VRe.

DFT formation energy = 22.2 kcal/mol of atoms
polymorph energy (0 for the lowest one) = 273.3 meV per atom
N(E_F) = 7.1 states/eV per cell

Cell lengths 7.309, 7.309, 5.802 Å; angles 50.96, 50.96, 90.00 degrees
Fractional positions:
Mg 0.875 0.876 0.750
Mg 0.626 0.125 0.250
Mg 0.375 0.374 0.750
Mg 0.124 0.625 0.250
Re 0.750 0.250 0.500
Re 0.000 0.000 0.000
V 0.250 0.750 0.500
V 0.500 0.500 0.000

---

(9)
A plane-wave DFT calculation with GGA-PBE was carried out for an optimized crystal structure of Tb3PrDyEr.

DFT formation energy = 4.7 kcal/mol of atoms
N(E_F) = 17.3 states/eV per cell

Cell lengths 5.647, 10.429, 6.970 Å; angles 89.67, 90.00, 105.71 degrees
Fractional positions:
Pr 0.357 0.715 0.978
Pr 0.643 0.285 0.022
Tb 0.779 0.558 0.764
Tb 0.479 0.957 0.267
Tb 0.836 0.673 0.278
Tb 0.164 0.327 0.722
Tb 0.221 0.442 0.236
Tb 0.521 0.043 0.733
Er 0.349 0.698 0.542
Er 0.651 0.302 0.458
Dy 0.058 0.115 0.280
Dy 0.942 0.885 0.720

---

(10)
A plane-wave DFT calculation with GGA-PBE was carried out for an optimized crystal structure of CuOsCl2.

polymorph energy (0 for the lowest one) = 59.6 meV per atom
N(E_F) = 3.0 states/eV per cell

Cell lengths 7.043, 7.043, 4.434 Å; angles 72.47, 72.47, 23.76 degrees
Fractional positions:
Os 0.750 0.750 0.750
Cl 0.105 0.105 0.891
Cl 0.395 0.395 0.609
Cu 0.250 0.250 0.250

---

(11)
A plane-wave DFT calculation with GGA-PBE was carried out for an optimized crystal structure of Cr4CoIr7.

DFT formation energy = 1.1 kcal/mol of atoms
N(E_F) = 12.2 states/eV per cell

Cell lengths 4.669, 8.948, 4.711 Å; angles 74.73, 90.04, 61.01 degrees
Fractional positions:
Cr 0.524 0.247 0.600
Cr 0.476 0.753 0.400
Cr 0.476 0.753 0.846
Cr 0.524 0.247 0.154
Ir 0.299 0.536 0.733
Ir 0.839 0.891 0.554
Ir 0.161 0.109 0.446
Ir 0.025 0.674 0.164
Ir 0.701 0.464 0.267
Ir 0.975 0.326 0.836
Ir 0.500 0.000 0.000
Co 0.000 0.000 0.000

---

(12)
A plane-wave DFT calculation with GGA-PBE was carried out for an optimized crystal structure of Mg7CdPb3.

DFT formation energy = 0.9 kcal/mol of atoms
N(E_F) = 4.0 states/eV per cell

Cell lengths 5.696, 7.743, 7.743 Å; angles 91.96, 111.35, 111.35 degrees
Fractional positions:
Pb 0.000 0.233 0.767
Pb 0.500 0.000 0.000
Pb 0.000 0.767 0.233
Mg 0.333 0.074 0.592
Mg 0.333 0.592 0.074
Mg 0.182 0.185 0.185
Mg 0.667 0.408 0.926
Mg 0.000 0.500 0.500
Mg 0.818 0.815 0.815
Mg 0.667 0.926 0.408
Cd 0.500 0.500 0.500

---

(13)
A plane-wave DFT calculation with GGA-PBE was carried out for an optimized crystal structure of MgHg2Cl.

polymorph energy (0 for the lowest one) = 88.0 meV per atom
N(E_F) = 1.3 states/eV per cell

Cell lengths 3.501, 3.501, 9.787 Å; angles 90.00, 90.00, 114.04 degrees
Fractional positions:
Hg 0.500 0.500 0.294
Hg 0.000 0.000 0.032
Mg 0.000 0.000 0.510
Cl 0.500 0.500 0.664

---

(14)
A plane-wave DFT calculation with GGA-PBE was carried out for an optimized crystal structure of Ir3Cl.

polymorph energy (0 for the lowest one) = 1077.0 meV per atom
N(E_F) = 13.9 states/eV per cell

Cell lengths 5.039, 5.039, 5.039 Å; angles 90.00, 90.00, 90.00 degrees
Fractional positions:
Ir 0.250 0.500 0.000
Ir 0.750 0.500 0.000
Ir 0.000 0.250 0.500
Ir 0.500 0.000 0.250
Ir 0.000 0.750 0.500
Ir 0.500 0.000 0.750
Cl 0.000 0.000 0.000
Cl 0.500 0.500 0.500

---

(15)
A plane-wave DFT calculation with GGA-PBE was carried out for an optimized crystal structure of Nd4Ho8Er3.

DFT formation energy = 8.5 kcal/mol of atoms
N(E_F) = 29.6 states/eV per cell

Cell lengths 6.735, 9.286, 9.286 Å; angles 87.35, 111.43, 111.43 degrees
Fractional positions:
Ho 0.521 0.267 0.267
Ho 0.000 0.637 0.363
Ho 0.000 0.363 0.637
Ho 0.500 0.255 0.745
Ho 0.479 0.733 0.733
Ho 0.003 0.271 0.271
Ho 0.500 0.745 0.255
Ho 0.997 0.729 0.729
Nd 0.500 0.000 0.000
Nd 0.000 0.000 0.500
Nd 0.000 0.500 0.000
Nd 0.000 0.000 0.000
Er 0.500 0.500 0.500
Er 0.500 0.500 0.000
Er 0.500 0.000 0.500

---

(16)
A plane-wave DFT calculation with GGA-PBE was carried out for an optimized crystal structure of PtC2F.

polymorph energy (0 for the lowest one) = 0.0 meV per atom
N(E_F) = 2.6 states/eV per cell

Cell lengths 4.715, 4.715, 6.175 Å; angles 67.56, 67.56, 90.00 degrees
Fractional positions:
Pt 0.000 0.000 0.000
Pt 0.750 0.250 0.500
C 0.704 0.125 0.250
C 0.375 0.296 0.750
C 0.046 0.625 0.250
C 0.875 0.954 0.750
F 0.250 0.750 0.500
F 0.500 0.500 0.000

---

(17)
A plane-wave DFT calculation with GGA-PBE was carried out for an optimized crystal structure of Os2PtSe.

N(E_F) = 3.8 states/eV per cell

Cell lengths 4.000, 3.041, 5.328 Å; angles 72.95, 90.00, 90.00 degrees
Fractional positions:
Pt 0.500 0.250 0.250
Se 0.500 0.750 0.750
Os 0.000 0.879 0.991
Os 0.000 0.621 0.509

---

(18)
A plane-wave DFT calculation with GGA-PBE was carried out for an optimized crystal structure of TbDyIrPt.

DFT formation energy = -23.3 kcal/mol of atoms
polymorph energy (0 for the lowest one) = 15.0 meV per atom
N(E_F) = 1.7 states/eV per cell

Cell lengths 4.903, 4.903, 4.903 Å; angles 60.00, 60.00, 60.00 degrees
Fractional positions:
Ir 0.000 0.000 0.000
Pt 0.500 0.500 0.500
Tb 0.750 0.750 0.750
Dy 0.250 0.250 0.250

---

(19)
A plane-wave DFT calculation with GGA-PBE was carried out for an optimized crystal structure of Cs3TmNp2O9.

N(E_F) = 0.3 states/eV per cell

Cell lengths 6.193, 6.193, 7.586 Å; angles 90.00, 90.00, 120.00 degrees
Fractional positions:
O 0.824 0.648 0.678
O 0.500 0.000 0.000
O 0.176 0.824 0.322
O 0.000 0.500 0.000
O 0.648 0.824 0.322
O 0.500 0.500 0.000
O 0.352 0.176 0.678
O 0.824 0.176 0.678
O 0.176 0.352 0.322
Cs 0.000 0.000 0.000
Cs 0.667 0.333 0.336
Cs 0.333 0.667 0.664
Tm 0.000 0.000 0.500
Np 0.667 0.333 0.832
Np 0.333 0.667 0.168

---

(20)
A plane-wave DFT calculation with GGA-PBE was carried out for an optimized crystal structure of Pu8RhAu5.

DFT formation energy = -6.4 kcal/mol of atoms
N(E_F) = 79.8 states/eV per cell

Cell lengths 7.740, 7.682, 7.740 Å; angles 110.44, 109.05, 109.24 degrees
Fractional positions:
Pu 0.785 0.256 0.384
Pu 0.608 0.394 0.879
Pu 0.604 0.884 0.874
Pu 0.990 0.116 0.720
Pu 0.123 0.732 0.008
Pu 0.277 0.268 0.392
Pu 0.128 0.744 0.529
Pu 0.485 0.606 0.214
Au 0.890 0.876 0.247
Au 0.497 0.000 0.497
Au 0.996 0.368 0.117
Au 0.371 0.124 0.014
Au 0.749 0.632 0.628
Rh 0.248 0.500 0.748

---

How do the records compare in calculated total energy? In the order shown, they have -0.722; -0.359; -0.176; -0.229; -0.303; -0.322; -0.252; -0.384; -0.326; -0.329; -0.656; -0.152; -0.112; -0.409; -0.313; -0.383; -0.541; -0.518; -0.572; -0.747 Ry/atom.
How do the records compare in total moment? In the order shown, they have 1.4; 0.0; 0.0; 0.0; 0.5; 0.0; 4.8; 3.6; 0.0; 0.0; 1.2; 0.0; 0.0; 0.0; 0.1; 0.0; 0.0; 0.0; 2.0; 23.5 Bohr magnetons per cell.